(1)
# LaHAu

Crystalline LaHAu at its relaxed geometry (PBE-GGA, the Alexandria database).

The structure in CIF format:
```
data_LaHAu
_chemical_formula_sum 'La1 H1 Au1'
_space_group_name_H-M_alt 'P 3 m 1'
_space_group_IT_number 156
_space_group_name_Hall 'P 3 -2"'
_cell_length_a 4.0749
_cell_length_b 4.0749
_cell_length_c 4.3332
_cell_angle_alpha 90.00
_cell_angle_beta 90.00
_cell_angle_gamma 120.00
loop_
_atom_site_label
_atom_site_type_symbol
_atom_site_fract_x
_atom_site_fract_y
_atom_site_fract_z
La1 La 0.0000 0.0000 0.0000
H1 H 0.3333 0.6667 0.9982
Au1 Au 0.6667 0.3333 0.4999
```

calculated total energy = -13.22 eV per cell
magnetization = 0.00 Bohr magnetons per cell
density of states at the Fermi level = 2.4 states/eV/f.u.

***

(2)
# La2HAu

Crystalline La2HAu at its relaxed geometry (PBE-GGA, the Alexandria database).

The structure in CIF format:
```
data_La2HAu
_chemical_formula_sum 'La6 H3 Au3'
_space_group_name_H-M_alt 'R 3 m'
_space_group_IT_number 160
_space_group_name_Hall 'R 3 -2"'
_cell_length_a 3.9633
_cell_length_b 3.9633
_cell_length_c 21.5081
_cell_angle_alpha 90.00
_cell_angle_beta 90.00
_cell_angle_gamma 120.00
loop_
_atom_site_label
_atom_site_type_symbol
_atom_site_fract_x
_atom_site_fract_y
_atom_site_fract_z
La1 La 0.0000 0.0000 0.0000
La2 La 0.0000 0.0000 0.1950
H1 H 0.0000 0.0000 0.5972
Au1 Au 0.0000 0.0000 0.7650
```

calculated total energy = -55.46 eV per cell
magnetization = 0.00 Bohr magnetons per cell
density of states at the Fermi level = 2.7 states/eV/f.u.

***

(3)
# LaH4Au

Crystalline LaH4Au at its relaxed geometry (PBE-GGA, the Alexandria database).

The structure in CIF format:
```
data_LaH4Au
_chemical_formula_sum 'La2 H8 Au2'
_space_group_name_H-M_alt 'C 1 2/m 1'
_space_group_IT_number 12
_space_group_name_Hall '-C 2y'
_cell_length_a 7.810
_cell_length_b 5.039
_cell_length_c 4.095
_cell_angle_alpha 90.00
_cell_angle_beta 121.52
_cell_angle_gamma 90.00
loop_
_atom_site_label
_atom_site_type_symbol
_atom_site_fract_x
_atom_site_fract_y
_atom_site_fract_z
La1 La 0.000 0.000 0.000
H1 H 0.174 0.230 0.676
Au1 Au 0.000 0.500 0.500
```

calculated total energy = -46.47 eV per cell
magnetization = 0.00 Bohr magnetons per cell
density of states at the Fermi level = 0.7 states/eV/f.u.

***

(4)
# La2H2Au

Crystalline La2H2Au at its relaxed geometry (PBE-GGA, the Alexandria database).

The structure in CIF format:
```
data_La2H2Au
_chemical_formula_sum 'La4 H4 Au2'
_space_group_name_H-M_alt 'I 4/m m m'
_space_group_IT_number 139
_space_group_name_Hall '-I 4 2'
_cell_length_a 3.850
_cell_length_b 3.850
_cell_length_c 13.259
_cell_angle_alpha 90.00
_cell_angle_beta 90.00
_cell_angle_gamma 90.00
loop_
_atom_site_label
_atom_site_type_symbol
_atom_site_fract_x
_atom_site_fract_y
_atom_site_fract_z
La1 La 0.000 0.000 0.142
H1 H 0.000 0.500 0.250
Au1 Au 0.000 0.000 0.500
```

calculated total energy = -46.49 eV per cell
magnetization = 0.00 Bohr magnetons per cell
density of states at the Fermi level = 2.9 states/eV/f.u.

***

(5)
# La3H3Au

Crystalline La3H3Au at its relaxed geometry (PBE-GGA, the Alexandria database).

The structure in CIF format:
```
data_La3H3Au
_chemical_formula_sum 'La6 H6 Au2'
_space_group_name_H-M_alt 'P m -3 n'
_space_group_IT_number 223
_space_group_name_Hall '-P 4n 2 3'
_cell_length_a 6.552
_cell_length_b 6.552
_cell_length_c 6.552
_cell_angle_alpha 90.00
_cell_angle_beta 90.00
_cell_angle_gamma 90.00
loop_
_atom_site_label
_atom_site_type_symbol
_atom_site_fract_x
_atom_site_fract_y
_atom_site_fract_z
La1 La 0.000 0.250 0.500
H1 H 0.000 0.500 0.250
Au1 Au 0.000 0.000 0.000
```

calculated total energy = -62.08 eV per cell
magnetization = 0.00 Bohr magnetons per cell
density of states at the Fermi level = 7.3 states/eV/f.u.

***

(6)
# La6HAu2

Crystalline La6HAu2 at its relaxed geometry (PBE-GGA, the Alexandria database).

The structure in CIF format:
```
data_La6HAu2
_chemical_formula_sum 'La12 H2 Au4'
_space_group_name_H-M_alt 'P 1 21/c 1'
_space_group_IT_number 14
_space_group_name_Hall '-P 2ybc'
_cell_length_a 6.761
_cell_length_b 7.393
_cell_length_c 12.319
_cell_angle_alpha 90.00
_cell_angle_beta 120.46
_cell_angle_gamma 90.00
loop_
_atom_site_label
_atom_site_type_symbol
_atom_site_fract_x
_atom_site_fract_y
_atom_site_fract_z
La1 La 0.110 0.021 0.254
La2 La 0.207 0.680 0.054
La3 La 0.384 0.196 0.054
H1 H 0.500 0.000 0.500
Au1 Au 0.347 0.113 0.763
```

calculated total energy = -86.83 eV per cell
magnetization = 0.00 Bohr magnetons per cell
density of states at the Fermi level = 9.7 states/eV/f.u.

***

(7)
# LaH3Au

Crystalline LaH3Au at its relaxed geometry (PBE-GGA, the Alexandria database).

The structure in CIF format:
```
data_LaH3Au
_chemical_formula_sum 'La1 H3 Au1'
_space_group_name_H-M_alt 'P m -3 m'
_space_group_IT_number 221
_space_group_name_Hall '-P 4 2 3'
_cell_length_a 3.926
_cell_length_b 3.926
_cell_length_c 3.926
_cell_angle_alpha 90.00
_cell_angle_beta 90.00
_cell_angle_gamma 90.00
loop_
_atom_site_label
_atom_site_type_symbol
_atom_site_fract_x
_atom_site_fract_y
_atom_site_fract_z
La1 La 0.000 0.000 0.000
H1 H 0.000 0.500 0.500
Au1 Au 0.500 0.500 0.500
```

calculated total energy = -19.58 eV per cell
magnetization = 0.00 Bohr magnetons per cell
density of states at the Fermi level = 3.3 states/eV/f.u.

***

(8)
# LaH2Au2

Crystalline LaH2Au2 at its relaxed geometry (PBE-GGA, the Alexandria database).

The structure in CIF format:
```
data_LaH2Au2
_chemical_formula_sum 'La4 H8 Au8'
_space_group_name_H-M_alt 'C 1 2/c 1'
_space_group_IT_number 15
_space_group_name_Hall '-C 2yc'
_cell_length_a 11.765
_cell_length_b 4.029
_cell_length_c 7.287
_cell_angle_alpha 90.00
_cell_angle_beta 110.73
_cell_angle_gamma 90.00
loop_
_atom_site_label
_atom_site_type_symbol
_atom_site_fract_x
_atom_site_fract_y
_atom_site_fract_z
La1 La 0.000 0.206 0.250
H1 H 0.054 0.293 0.955
Au1 Au 0.217 0.497 0.107
```

calculated total energy = -81.11 eV per cell
magnetization = 0.00 Bohr magnetons per cell
density of states at the Fermi level = 0.9 states/eV/f.u.

***

(9)
# La2H2Au

Crystalline La2H2Au at its relaxed geometry (PBE-GGA, the Alexandria database).

The structure in CIF format:
```
data_La2H2Au
_chemical_formula_sum 'La4 H4 Au2'
_space_group_name_H-M_alt 'P 4/m b m'
_space_group_IT_number 127
_space_group_name_Hall '-P 4 2ab'
_cell_length_a 7.357
_cell_length_b 7.357
_cell_length_c 3.353
_cell_angle_alpha 90.00
_cell_angle_beta 90.00
_cell_angle_gamma 90.00
loop_
_atom_site_label
_atom_site_type_symbol
_atom_site_fract_x
_atom_site_fract_y
_atom_site_fract_z
La1 La 0.172 0.328 0.000
H1 H 0.113 0.613 0.500
Au1 Au 0.000 0.000 0.500
```

calculated total energy = -43.74 eV per cell
magnetization = 0.00 Bohr magnetons per cell
density of states at the Fermi level = 4.2 states/eV/f.u.

***

(10)
# La2HAu

Crystalline La2HAu at its relaxed geometry (PBE-GGA, the Alexandria database).

The structure in CIF format:
```
data_La2HAu
_chemical_formula_sum 'La8 H4 Au4'
_space_group_name_H-M_alt 'F m -3 m'
_space_group_IT_number 225
_space_group_name_Hall '-F 4 2 3'
_cell_length_a 7.284
_cell_length_b 7.284
_cell_length_c 7.284
_cell_angle_alpha 90.00
_cell_angle_beta 90.00
_cell_angle_gamma 90.00
loop_
_atom_site_label
_atom_site_type_symbol
_atom_site_fract_x
_atom_site_fract_y
_atom_site_fract_z
La1 La 0.250 0.250 0.250
H1 H 0.000 0.000 0.000
Au1 Au 0.000 0.000 0.500
```

calculated total energy = -70.72 eV per cell
magnetization = 2.28 Bohr magnetons per cell
density of states at the Fermi level = 4.4 states/eV/f.u.

***

(11)
# LiLa2HAu

Crystalline LiLa2HAu at its relaxed geometry (PBE-GGA, the Alexandria database).

The structure in CIF format:
```
data_LiLa2HAu
_chemical_formula_sum 'Li1 La2 H1 Au1'
_space_group_name_H-M_alt 'P 4/m m m'
_space_group_IT_number 123
_space_group_name_Hall '-P 4 2'
_cell_length_a 5.145
_cell_length_b 5.145
_cell_length_c 4.201
_cell_angle_alpha 90.00
_cell_angle_beta 90.00
_cell_angle_gamma 90.00
loop_
_atom_site_label
_atom_site_type_symbol
_atom_site_fract_x
_atom_site_fract_y
_atom_site_fract_z
Li1 Li 0.000 0.000 0.000
La1 La 0.000 0.500 0.500
H1 H 0.500 0.500 0.500
Au1 Au 0.500 0.500 0.000
```

calculated total energy = -19.98 eV per cell
magnetization = 0.04 Bohr magnetons per cell
density of states at the Fermi level = 4.9 states/eV/f.u.

***

(12)
# LiLa2HAu

Crystalline LiLa2HAu at its relaxed geometry (PBE-GGA, the Alexandria database).

The structure in CIF format:
```
data_LiLa2HAu
_chemical_formula_sum 'Li1 La2 H1 Au1'
_space_group_name_H-M_alt 'P 4/m m m'
_space_group_IT_number 123
_space_group_name_Hall '-P 4 2'
_cell_length_a 5.189
_cell_length_b 5.189
_cell_length_c 4.018
_cell_angle_alpha 90.00
_cell_angle_beta 90.00
_cell_angle_gamma 90.00
loop_
_atom_site_label
_atom_site_type_symbol
_atom_site_fract_x
_atom_site_fract_y
_atom_site_fract_z
Li1 Li 0.000 0.000 0.000
La1 La 0.000 0.500 0.500
H1 H 0.000 0.000 0.500
Au1 Au 0.500 0.500 0.000
```

calculated total energy = -20.77 eV per cell
magnetization = 0.41 Bohr magnetons per cell
density of states at the Fermi level = 3.7 states/eV/f.u.

***

(13)
# LaMg2HAu

Crystalline LaMg2HAu at its relaxed geometry (PBE-GGA, the Alexandria database).

The structure in CIF format:
```
data_LaMg2HAu
_chemical_formula_sum 'La1 Mg2 H1 Au1'
_space_group_name_H-M_alt 'P 4/m m m'
_space_group_IT_number 123
_space_group_name_Hall '-P 4 2'
_cell_length_a 4.532
_cell_length_b 4.532
_cell_length_c 4.821
_cell_angle_alpha 90.00
_cell_angle_beta 90.00
_cell_angle_gamma 90.00
loop_
_atom_site_label
_atom_site_type_symbol
_atom_site_fract_x
_atom_site_fract_y
_atom_site_fract_z
La1 La 0.000 0.000 0.000
Mg1 Mg 0.000 0.500 0.500
H1 H 0.000 0.000 0.500
Au1 Au 0.500 0.500 0.000
```

calculated total energy = -16.52 eV per cell
magnetization = 0.00 Bohr magnetons per cell
density of states at the Fermi level = 2.5 states/eV/f.u.

***

(14)
# La2MgHAu

Crystalline La2MgHAu at its relaxed geometry (PBE-GGA, the Alexandria database).

The structure in CIF format:
```
data_La2MgHAu
_chemical_formula_sum 'La2 Mg1 H1 Au1'
_space_group_name_H-M_alt 'P 4/m m m'
_space_group_IT_number 123
_space_group_name_Hall '-P 4 2'
_cell_length_a 5.206
_cell_length_b 5.206
_cell_length_c 4.254
_cell_angle_alpha 90.00
_cell_angle_beta 90.00
_cell_angle_gamma 90.00
loop_
_atom_site_label
_atom_site_type_symbol
_atom_site_fract_x
_atom_site_fract_y
_atom_site_fract_z
La1 La 0.000 0.500 0.000
Mg1 Mg 0.000 0.000 0.500
H1 H 0.500 0.500 0.000
Au1 Au 0.500 0.500 0.500
```

calculated total energy = -19.87 eV per cell
magnetization = 0.26 Bohr magnetons per cell
density of states at the Fermi level = 3.9 states/eV/f.u.

***

(15)
# La2MgHAu

Crystalline La2MgHAu at its relaxed geometry (PBE-GGA, the Alexandria database).

The structure in CIF format:
```
data_La2MgHAu
_chemical_formula_sum 'La2 Mg1 H1 Au1'
_space_group_name_H-M_alt 'P 4/m m m'
_space_group_IT_number 123
_space_group_name_Hall '-P 4 2'
_cell_length_a 5.037
_cell_length_b 5.037
_cell_length_c 4.421
_cell_angle_alpha 90.00
_cell_angle_beta 90.00
_cell_angle_gamma 90.00
loop_
_atom_site_label
_atom_site_type_symbol
_atom_site_fract_x
_atom_site_fract_y
_atom_site_fract_z
La1 La 0.000 0.500 0.000
Mg1 Mg 0.000 0.000 0.500
H1 H 0.000 0.000 0.000
Au1 Au 0.500 0.500 0.500
```

calculated total energy = -20.20 eV per cell
magnetization = 0.00 Bohr magnetons per cell
density of states at the Fermi level = 3.3 states/eV/f.u.

***

(16)
# NaLa2HAu

Crystalline NaLa2HAu at its relaxed geometry (PBE-GGA, the Alexandria database).

The structure in CIF format:
```
data_NaLa2HAu
_chemical_formula_sum 'Na1 La2 H1 Au1'
_space_group_name_H-M_alt 'P 4/m m m'
_space_group_IT_number 123
_space_group_name_Hall '-P 4 2'
_cell_length_a 5.126
_cell_length_b 5.126
_cell_length_c 4.394
_cell_angle_alpha 90.00
_cell_angle_beta 90.00
_cell_angle_gamma 90.00
loop_
_atom_site_label
_atom_site_type_symbol
_atom_site_fract_x
_atom_site_fract_y
_atom_site_fract_z
Na1 Na 0.000 0.000 0.000
La1 La 0.000 0.500 0.500
H1 H 0.000 0.000 0.500
Au1 Au 0.500 0.500 0.000
```

calculated total energy = -19.47 eV per cell
magnetization = 0.00 Bohr magnetons per cell
density of states at the Fermi level = 4.2 states/eV/f.u.

***

(17)
# Na2LaHAu

Crystalline Na2LaHAu at its relaxed geometry (PBE-GGA, the Alexandria database).

The structure in CIF format:
```
data_Na2LaHAu
_chemical_formula_sum 'Na2 La1 H1 Au1'
_space_group_name_H-M_alt 'P 4/m m m'
_space_group_IT_number 123
_space_group_name_Hall '-P 4 2'
_cell_length_a 4.435
_cell_length_b 4.435
_cell_length_c 5.428
_cell_angle_alpha 90.00
_cell_angle_beta 90.00
_cell_angle_gamma 90.00
loop_
_atom_site_label
_atom_site_type_symbol
_atom_site_fract_x
_atom_site_fract_y
_atom_site_fract_z
Na1 Na 0.000 0.500 0.000
La1 La 0.000 0.000 0.500
H1 H 0.000 0.000 0.000
Au1 Au 0.500 0.500 0.500
```

calculated total energy = -15.70 eV per cell
magnetization = 0.00 Bohr magnetons per cell
density of states at the Fermi level = 1.6 states/eV/f.u.

***

(18)
# La2NiHAu

Crystalline La2NiHAu at its relaxed geometry (PBE-GGA, the Alexandria database).

The structure in CIF format:
```
data_La2NiHAu
_chemical_formula_sum 'La2 Ni1 H1 Au1'
_space_group_name_H-M_alt 'P 4/m m m'
_space_group_IT_number 123
_space_group_name_Hall '-P 4 2'
_cell_length_a 5.277
_cell_length_b 5.277
_cell_length_c 3.652
_cell_angle_alpha 90.00
_cell_angle_beta 90.00
_cell_angle_gamma 90.00
loop_
_atom_site_label
_atom_site_type_symbol
_atom_site_fract_x
_atom_site_fract_y
_atom_site_fract_z
La1 La 0.000 0.500 0.000
Ni1 Ni 0.000 0.000 0.500
H1 H 0.000 0.000 0.000
Au1 Au 0.500 0.500 0.500
```

calculated total energy = -24.81 eV per cell
magnetization = 0.00 Bohr magnetons per cell
density of states at the Fermi level = 4.3 states/eV/f.u.

***

(19)
# LaNi4H6Au

Crystalline LaNi4H6Au at its relaxed geometry (PBE-GGA, the Alexandria database).

The structure in CIF format:
```
data_LaNi4H6Au
_chemical_formula_sum 'La1 Ni4 H6 Au1'
_space_group_name_H-M_alt 'P 6/m m m'
_space_group_IT_number 191
_space_group_name_Hall '-P 6 2'
_cell_length_a 4.4207
_cell_length_b 4.4207
_cell_length_c 6.6995
_cell_angle_alpha 90.00
_cell_angle_beta 90.00
_cell_angle_gamma 120.00
loop_
_atom_site_label
_atom_site_type_symbol
_atom_site_fract_x
_atom_site_fract_y
_atom_site_fract_z
La1 La 0.0000 0.0000 0.0000
Ni1 Ni 0.3333 0.6667 0.3179
H1 H 0.0000 0.5000 0.1736
Au1 Au 0.0000 0.0000 0.5000
```

calculated total energy = -54.94 eV per cell
magnetization = 0.00 Bohr magnetons per cell
density of states at the Fermi level = 4.3 states/eV/f.u.

***

(20)
# La2HPbAu

Crystalline La2HPbAu at its relaxed geometry (PBE-GGA, the Alexandria database).

The structure in CIF format:
```
data_La2HPbAu
_chemical_formula_sum 'La2 H1 Pb1 Au1'
_space_group_name_H-M_alt 'P 4/m m m'
_space_group_IT_number 123
_space_group_name_Hall '-P 4 2'
_cell_length_a 5.176
_cell_length_b 5.176
_cell_length_c 4.399
_cell_angle_alpha 90.00
_cell_angle_beta 90.00
_cell_angle_gamma 90.00
loop_
_atom_site_label
_atom_site_type_symbol
_atom_site_fract_x
_atom_site_fract_y
_atom_site_fract_z
La1 La 0.000 0.500 0.000
H1 H 0.000 0.000 0.000
Pb1 Pb 0.500 0.500 0.500
Au1 Au 0.000 0.000 0.500
```

calculated total energy = -22.94 eV per cell
magnetization = 0.00 Bohr magnetons per cell
density of states at the Fermi level = 3.3 states/eV/f.u.